A | First-principles (PBE+U) data for TaVI2O after structural relaxation, as listed in Alexandria.

## Properties
space group = No. 123
calculated volume = 26.1 A^3/atom
crystal system = tetragonal

Cell lengths 5.793, 5.793, 3.885 Å; angles 90.00, 90.00, 90.00 degrees
Positions (direct):
1 Ta 0.000 0.000 0.000
2 V 0.500 0.500 0.500
3 I 0.000 0.500 0.000
4 I 0.500 0.000 0.000
5 O 0.000 0.000 0.500

B | First-principles (PBE+U) data for TaVI2O after structural relaxation, as listed in Alexandria.

## Properties
space group = No. 123
calculated volume = 23.2 A^3/atom
crystal system = tetragonal

Cell lengths 5.653, 5.653, 3.637 Å; angles 90.00, 90.00, 90.00 degrees
Positions (direct):
1 Ta 0.000 0.000 0.000
2 V 0.500 0.500 0.500
3 I 0.000 0.500 0.500
4 I 0.500 0.000 0.500
5 O 0.500 0.500 0.000

Which of them is least stable? Easy: B.

A | First-principles (PBE+U) data for TaWI2O after structural relaxation, as listed in Alexandria.

## Properties
space group = No. 123
calculated volume = 26.3 A^3/atom
crystal system = tetragonal

Cell lengths 5.813, 5.813, 3.884 Å; angles 90.00, 90.00, 90.00 degrees
Positions (direct):
1 Ta 0.000 0.000 0.000
2 W 0.500 0.500 0.500
3 I 0.000 0.500 0.000
4 I 0.500 0.000 0.000
5 O 0.000 0.000 0.500

B | First-principles (PBE+U) data for TaWI2O after structural relaxation, as listed in Alexandria.

## Properties
space group = No. 123
calculated volume = 26.6 A^3/atom
crystal system = tetragonal

Cell lengths 5.904, 5.904, 3.819 Å; angles 90.00, 90.00, 90.00 degrees
Positions (direct):
1 Ta 0.000 0.000 0.000
2 W 0.500 0.500 0.500
3 I 0.000 0.500 0.500
4 I 0.500 0.000 0.500
5 O 0.500 0.500 0.000

Which of them is least stable? Easy: B.